(1)
DFT (PBE) results for an optimized crystal structure of Hf10VSb5.

Properties
formation energy (no corrections)	-0.432	eV/atom
Fermi-level density of states	12.978	states/eV/cell

Unit cell a=8.3058 b=8.3058 c=8.3058 alpha=96.48 beta=96.48 gamma=140.73
Fractional positions:
Sb 0.0864 0.5864 0.1728
Sb 0.4136 0.9136 0.8272
Sb 0.5864 0.4136 0.5000
Sb 0.9136 0.0864 0.5000
Hf 0.9796 0.8400 0.2920
Hf 0.0204 0.3124 0.8604
Hf 0.6876 0.9796 0.1396
Hf 0.0000 0.5000 0.5000
Hf 0.4520 0.1600 0.1396
Sb 0.5000 0.5000 0.0000
V 0.0000 0.0000 0.0000
Hf 0.5000 0.0000 0.5000
Hf 0.8400 0.5480 0.8604
Hf 0.5480 0.6876 0.7080
Hf 0.3124 0.4520 0.2920
Hf 0.1600 0.0204 0.7080

(2)
DFT (PBE) results for an optimized crystal structure of Tb5ErTm4.

Properties
energy relative to the elements	0.312	eV per atom
Fermi-level density of states	14.614	states/eV/cell
E above lowest polymorph	274	meV/atom

Unit cell a=6.2558 b=7.7856 c=7.7856 alpha=80.71 beta=66.31 gamma=66.31
Fractional positions:
Er 0.2214 0.0000 0.0000
Tm 0.7964 0.7023 0.6059
Tb 0.6805 0.0000 0.0000
Tm 0.1045 0.2977 0.3941
Tm 0.4022 0.3941 0.7023
Tb 0.7189 0.0876 0.3779
Tm 0.4987 0.6059 0.2977
Tb 0.8065 0.3779 0.9124
Tb 0.1844 0.9124 0.6221
Tb 0.0968 0.6221 0.0876

(3)
DFT (PBE) results for an optimized crystal structure of NaAgPS4.

Properties
formation energy (no corrections)	-0.308	eV/atom
Fermi-level density of states	13.273	states/eV/cell

Unit cell a=6.9623 b=6.9623 c=7.5151 alpha=90.00 beta=90.00 gamma=114.90
Last column: magnetic moment on the atom in μB.
Fractional positions:
P 0.1497 0.8503 0.2500  0.00
P 0.8503 0.1497 0.7500  0.00
Ag 0.8654 0.1346 0.2500  0.06
S 0.2517 0.7483 0.4696  0.04
S 0.7483 0.2517 0.5304  0.04
S 0.7483 0.2517 0.9696  0.04
S 0.7508 0.8252 0.7500  0.06
Ag 0.1346 0.8654 0.7500  0.06
S 0.2517 0.7483 0.0304  0.04
S 0.8252 0.7508 0.2500  0.06
S 0.1748 0.2492 0.7500  0.06
Na 0.5000 0.5000 0.5000  0.00
Na 0.5000 0.5000 0.0000  0.00
S 0.2492 0.1748 0.2500  0.06

Fermi-level density of states of number 2 (Tb5ErTm4)? 14.614 states/eV/cell

What is the formula in the second record? Tb5ErTm4

Among the records above, which one has the lowest Fermi-level density of states? Hf10VSb5